Entry 1:
# Y2CuBr PBE-GGA relaxed
data_Y2CuBr
_cell_length_a 4.751
_cell_length_b 3.552
_cell_length_c 11.146
_cell_angle_alpha 90.00
_cell_angle_beta 90.00
_cell_angle_gamma 90.00
_space_group_name_H-M_alt 'A m m 2'
_space_group_IT_number 38
_space_group_name_Hall 'A 2 -2'
loop_
_atom_site_label
_atom_site_type_symbol
_atom_site_fract_x
_atom_site_fract_y
_atom_site_fract_z
Y1 Y 0.000 0.000 0.000
Y2 Y 0.500 0.000 0.264
Cu1 Cu 0.500 0.000 0.519
Br1 Br 0.000 0.000 0.737
# energy relative to the elements, uncorrected = -0.477 eV/atom
# distance to the lowest polymorph of the same formula = 156 meV per atom



Entry 2:
# Mg3ScRh3 PBE-GGA relaxed
data_Mg3ScRh3
_cell_length_a 8.861
_cell_length_b 8.968
_cell_length_c 6.221
_cell_angle_alpha 90.00
_cell_angle_beta 90.00
_cell_angle_gamma 90.00
_space_group_name_H-M_alt 'C m m m'
_space_group_IT_number 65
_space_group_name_Hall '-C 2 2'
loop_
_atom_site_label
_atom_site_type_symbol
_atom_site_fract_x
_atom_site_fract_y
_atom_site_fract_z
Mg1 Mg 0.000 0.249 0.000
Mg2 Mg 0.248 0.500 0.000
Mg3 Mg 0.250 0.000 0.500
Sc1 Sc 0.000 0.238 0.500
Rh1 Rh 0.000 0.000 0.246
Rh2 Rh 0.250 0.250 0.248
# ΔE_f = -0.60 eV per atom



Entry 3:
# Sr2Ce4P3N2 PBE-GGA relaxed
data_Sr2Ce4P3N2
_cell_length_a 4.653
_cell_length_b 4.653
_cell_length_c 24.105
_cell_angle_alpha 90.00
_cell_angle_beta 90.00
_cell_angle_gamma 90.00
_space_group_name_H-M_alt 'I 4/m m m'
_space_group_IT_number 139
_space_group_name_Hall '-I 4 2'
loop_
_atom_site_label
_atom_site_type_symbol
_atom_site_fract_x
_atom_site_fract_y
_atom_site_fract_z
Sr1 Sr 0.000 0.000 0.200
Ce1 Ce 0.000 0.500 0.079
P1 P 0.000 0.000 0.332
P2 P 0.000 0.000 0.500
N1 N 0.000 0.000 0.095
# energy relative to the elements, uncorrected = -1.201 eV/atom



Entry 4:
# GeMoS2Cl PBE-GGA relaxed
data_GeMoS2Cl
_cell_length_a 4.799
_cell_length_b 4.799
_cell_length_c 4.699
_cell_angle_alpha 90.00
_cell_angle_beta 90.00
_cell_angle_gamma 90.00
_space_group_name_H-M_alt 'P 4/m m m'
_space_group_IT_number 123
_space_group_name_Hall '-P 4 2'
loop_
_atom_site_label
_atom_site_type_symbol
_atom_site_fract_x
_atom_site_fract_y
_atom_site_fract_z
Ge1 Ge 0.000 0.000 0.000
Mo1 Mo 0.500 0.500 0.500
S1 S 0.000 0.500 0.000
Cl1 Cl 0.000 0.000 0.500
# energy relative to the elements, uncorrected = 0.649 eV/atom
# distance to the lowest polymorph of the same formula = 539 meV per atom



Entry 5:
# SrAsCl2 PBE-GGA relaxed
data_SrAsCl2
_cell_length_a 6.882
_cell_length_b 8.855
_cell_length_c 5.014
_cell_angle_alpha 90.00
_cell_angle_beta 132.76
_cell_angle_gamma 90.00
_space_group_name_H-M_alt 'C 1 2/m 1'
_space_group_IT_number 12
_space_group_name_Hall '-C 2y'
loop_
_atom_site_label
_atom_site_type_symbol
_atom_site_fract_x
_atom_site_fract_y
_atom_site_fract_z
Sr1 Sr 0.000 0.000 0.000
As1 As 0.000 0.500 0.000
Cl1 Cl 0.250 0.250 0.500
# energy relative to the elements, uncorrected = -1.080 eV/atom
# distance to the lowest polymorph of the same formula = 117 meV per atom



Entry 6:
# SmMgCdPb PBE-GGA relaxed
data_SmMgCdPb
_cell_length_a 4.492
_cell_length_b 4.683
_cell_length_c 4.916
_cell_angle_alpha 90.00
_cell_angle_beta 90.00
_cell_angle_gamma 90.00
_space_group_name_H-M_alt 'P m m m'
_space_group_IT_number 47
_space_group_name_Hall '-P 2 2'
loop_
_atom_site_label
_atom_site_type_symbol
_atom_site_fract_x
_atom_site_fract_y
_atom_site_fract_z
Sm1 Sm 0.000 0.000 0.000
Mg1 Mg 0.000 0.500 0.500
Cd1 Cd 0.500 0.000 0.500
Pb1 Pb 0.500 0.500 0.000
# ΔE_f = -0.36 eV per atom
# distance to the lowest polymorph of the same formula = 0 meV per atom



Entry 7:
# K2ReRu PBE-GGA relaxed
data_K2ReRu
_cell_length_a 5.427
_cell_length_b 11.684
_cell_length_c 2.704
_cell_angle_alpha 90.00
_cell_angle_beta 109.99
_cell_angle_gamma 90.00
_space_group_name_H-M_alt 'C 1 2/m 1'
_space_group_IT_number 12
_space_group_name_Hall '-C 2y'
loop_
_atom_site_label
_atom_site_type_symbol
_atom_site_fract_x
_atom_site_fract_y
_atom_site_fract_z
K1 K 0.250 0.250 0.000
Re1 Re 0.000 0.000 0.500
Ru1 Ru 0.000 0.500 0.500
# ΔE_f = 1.36 eV per atom
# distance to the lowest polymorph of the same formula = 593 meV per atom



Entry 8:
# Y3Er4Tl PBE-GGA relaxed
data_Y3Er4Tl
_cell_length_a 11.167
_cell_length_b 6.996
_cell_length_c 6.160
_cell_angle_alpha 90.00
_cell_angle_beta 90.00
_cell_angle_gamma 90.00
_space_group_name_H-M_alt 'P m n 21'
_space_group_IT_number 31
_space_group_name_Hall 'P 2ac -2'
loop_
_atom_site_label
_atom_site_type_symbol
_atom_site_fract_x
_atom_site_fract_y
_atom_site_fract_z
Y1 Y 0.000 0.131 0.000
Y2 Y 0.240 0.118 0.342
Er1 Er 0.000 0.379 0.536
Er2 Er 0.000 0.629 0.009
Er3 Er 0.239 0.625 0.358
Tl1 Tl 0.000 0.875 0.521
# ΔE_f = -0.07 eV per atom



Entry 9:
# TaCuHg PBE-GGA relaxed
data_TaCuHg
_cell_length_a 6.279
_cell_length_b 6.279
_cell_length_c 6.279
_cell_angle_alpha 90.00
_cell_angle_beta 90.00
_cell_angle_gamma 90.00
_space_group_name_H-M_alt 'F -4 3 m'
_space_group_IT_number 216
_space_group_name_Hall 'F -4 2 3'
loop_
_atom_site_label
_atom_site_type_symbol
_atom_site_fract_x
_atom_site_fract_y
_atom_site_fract_z
Ta1 Ta 0.000 0.000 0.000
Cu1 Cu 0.250 0.250 0.250
Hg1 Hg 0.250 0.250 0.750
# ΔE_f = 0.93 eV per atom
# distance to the lowest polymorph of the same formula = 697 meV per atom



Entry 10:
# SrCaHg14 PBE-GGA relaxed
data_SrCaHg14
_cell_length_a 7.478
_cell_length_b 7.478
_cell_length_c 7.652
_cell_angle_alpha 90.00
_cell_angle_beta 90.00
_cell_angle_gamma 90.00
_space_group_name_H-M_alt 'P 4/m m m'
_space_group_IT_number 123
_space_group_name_Hall '-P 4 2'
loop_
_atom_site_label
_atom_site_type_symbol
_atom_site_fract_x
_atom_site_fract_y
_atom_site_fract_z
Sr1 Sr 0.000 0.000 0.000
Ca1 Ca 0.500 0.500 0.000
Hg1 Hg 0.000 0.000 0.500
Hg2 Hg 0.000 0.500 0.000
Hg3 Hg 0.000 0.500 0.500
Hg4 Hg 0.255 0.255 0.263
Hg5 Hg 0.500 0.500 0.500
# ΔE_f = -0.19 eV per atom



Entry 11:
# Pr8Ge5Pd PBE-GGA relaxed
data_Pr8Ge5Pd
_cell_length_a 9.197
_cell_length_b 9.197
_cell_length_c 9.308
_cell_angle_alpha 90.00
_cell_angle_beta 90.00
_cell_angle_gamma 90.00
_space_group_name_H-M_alt 'I -4'
_space_group_IT_number 82
_space_group_name_Hall 'I -4'
loop_
_atom_site_label
_atom_site_type_symbol
_atom_site_fract_x
_atom_site_fract_y
_atom_site_fract_z
Pr1 Pr 0.063 0.187 0.192
Pr2 Pr 0.069 0.314 0.564
Ge1 Ge 0.000 0.000 0.500
Ge2 Ge 0.123 0.250 0.877
Pd1 Pd 0.000 0.500 0.250
# ΔE_f = -0.74 eV per atom



Entry 12:
# LiHfAl PBE-GGA relaxed
data_LiHfAl
_cell_length_a 3.044
_cell_length_b 3.044
_cell_length_c 11.495
_cell_angle_alpha 90.00
_cell_angle_beta 90.00
_cell_angle_gamma 90.00
_space_group_name_H-M_alt 'I 4 m m'
_space_group_IT_number 107
_space_group_name_Hall 'I 4 -2'
loop_
_atom_site_label
_atom_site_type_symbol
_atom_site_fract_x
_atom_site_fract_y
_atom_site_fract_z
Li1 Li 0.000 0.000 0.000
Hf1 Hf 0.000 0.000 0.691
Al1 Al 0.000 0.000 0.359
# ΔE_f = -0.08 eV per atom
# distance to the lowest polymorph of the same formula = 94 meV per atom



The evaluated VASP energy for the records listed, in turn: -5.15; -5.34; -6.65; -4.46; -3.59; -3.10; -4.62; -5.07; -4.49; -0.69; -5.49; -5.28 eV/atom.
The evaluated spin magnetization for the records listed, in turn: 0.0; 0.0; 4.6; 3.8; 0.0; 0.0; 0.0; 0.0; 0.0; 0.0; 0.0; 0.0 Bohr magnetons per cell.